Record 1
A plane-wave DFT calculation with PBE was carried out for a geometry-optimized Mg3Pd12W structure.

For the calculated volume, the calculation gives 248.4 Å³/f.u. The calculation puts the mass density at 10.3 g/cm³. For the electronic total energy, the calculation gives -5.392 eV/atom. The total magnetization is 0.00 μB/cell.

The space group is P4/mmm (No. 123) and the conventional cell measures 3.953, 3.953 and 15.897 Å, with angles of 90.00, 90.00 and 90.00 degrees. The distinct sites, in fractional coordinates, are Mg at (0.000, 0.000, 0.000), Mg at (0.000, 0.000, 0.248), Pd at (0.000, 0.500, 0.126), Pd at (0.000, 0.500, 0.381), Pd at (0.500, 0.500, 0.000), Pd at (0.500, 0.500, 0.253), Pd at (0.500, 0.500, 0.500) and W at (0.000, 0.000, 0.500).

***

Record 2
A plane-wave DFT calculation with PBE was carried out for a geometry-optimized SmAlPdPt structure.

For the calculated volume, the calculation gives 79.7 Å³/f.u. The calculation puts the mass density at 10.0 g/cm³. For the electronic total energy, the calculation gives -5.930 eV/atom. The total magnetization is 0.00 μB/cell. The value obtained for the energy above the lowest structure with this stoichiometry is 0.000 eV per atom.

The space group is Cm (No. 8) and the conventional cell measures 7.590, 4.391 and 5.404 Å, with angles of 90.00, 117.77 and 90.00 degrees. The distinct sites, in fractional coordinates, are Sm at (0.000, 0.000, 0.000), Al at (0.493, 0.000, 0.479), Pd at (0.213, 0.000, 0.639) and Pt at (0.288, 0.500, 0.364).

***

Record 3
A plane-wave DFT calculation with PBE was carried out for a geometry-optimized Hg3BrO2 structure.

For the calculated volume, the calculation gives 138.6 Å³/f.u. The calculation puts the mass density at 8.6 g/cm³. Its formation energy from raw total energies is -1.27 eV per formula unit. For the electronic total energy, the calculation gives -2.294 eV/atom. The total magnetization is 0.00 μB/cell.

The space group is P2_1/m (No. 11) and the conventional cell measures 6.679, 3.859 and 10.755 Å, with angles of 90.00, 91.21 and 90.00 degrees. The distinct sites, in fractional coordinates, are Hg at (0.098, 0.250, 0.128), Hg at (0.280, 0.250, 0.373), Hg at (0.395, 0.250, 0.835), Br at (0.252, 0.750, 0.571), O at (0.116, 0.250, 0.909) and O at (0.320, 0.750, 0.235).

***

Record 4
A plane-wave DFT calculation with PBE was carried out for a geometry-optimized Rb2BaGeCl6 structure.

For the calculated volume, the calculation gives 363.9 Å³/f.u. The calculation puts the mass density at 2.7 g/cm³. Its formation energy from raw total energies is -17.24 eV per formula unit. For the electronic total energy, the calculation gives -3.679 eV/atom. The total magnetization is 0.00 μB/cell. The value obtained for the energy above the lowest structure with this stoichiometry is 0.045 eV per atom.

The space group is Fm-3m (No. 225) and the conventional cell measures 11.333, 11.333 and 11.333 Å, with angles of 90.00, 90.00 and 90.00 degrees. The distinct sites, in fractional coordinates, are Rb at (0.250, 0.250, 0.250), Ba at (0.000, 0.000, 0.000), Ge at (0.000, 0.000, 0.500) and Cl at (0.000, 0.000, 0.265).

***

Record 5
A plane-wave DFT calculation with PBE was carried out for a geometry-optimized Pd7Au5 structure.

For the calculated volume, the calculation gives 197.9 Å³/f.u. The calculation puts the mass density at 14.5 g/cm³. For the electronic total energy, the calculation gives -4.437 eV/atom. The total magnetization is 0.00 μB/cell. The value obtained for the energy above the lowest structure with this stoichiometry is 0.000 eV per atom.

The space group is C2/m (No. 12) and the conventional cell measures 14.759, 2.854 and 10.634 Å, with angles of 90.00, 117.91 and 90.00 degrees. The distinct sites, in fractional coordinates, are Pd at (0.000, 0.000, 0.000), Pd at (0.028, 0.500, 0.250), Pd at (0.138, 0.000, 0.749), Pd at (0.166, 0.000, 0.498), Au at (0.000, 0.500, 0.500), Au at (0.164, 0.500, 0.997) and Au at (0.195, 0.000, 0.254).

***

Record 6
A plane-wave DFT calculation with PBE was carried out for a geometry-optimized Sr2Al2Ag15 structure.

For the calculated volume, the calculation gives 391.6 Å³/f.u. The calculation puts the mass density at 7.8 g/cm³. For the electronic total energy, the calculation gives -2.912 eV/atom. The total magnetization is 0.00 μB/cell.

The space group is R-3m (No. 166, hexagonal axes) and the conventional cell measures 9.7285, 9.7285 and 14.3336 Å, with angles of 90.00, 90.00 and 120.00 degrees. The distinct sites, in fractional coordinates, are Sr at (0.0000, 0.0000, 0.1572), Al at (0.0000, 0.0000, 0.4048), Ag at (0.0000, 0.3011, 0.5000), Ag at (0.0000, 0.5000, 0.0000) and Ag at (0.0020, 0.5010, 0.3460).

***

Record 7
A plane-wave DFT calculation with PBE was carried out for a geometry-optimized Tm5UN6 structure.

For the calculated volume, the calculation gives 166.9 Å³/f.u. The calculation puts the mass density at 11.6 g/cm³. Its formation energy from raw total energies is -21.09 eV per formula unit. For the electronic total energy, the calculation gives -8.724 eV/atom. The total magnetization is 1.83 μB/cell.

The space group is C2/m (No. 12) and the conventional cell measures 5.890, 10.203 and 5.889 Å, with angles of 90.00, 109.43 and 90.00 degrees. The distinct sites, in fractional coordinates, are Tm at (0.000, 0.000, 0.000), Tm at (0.000, 0.166, 0.500), Tm at (0.000, 0.332, 0.000), U at (0.000, 0.500, 0.500), N at (0.239, 0.500, 0.259) and N at (0.242, 0.340, 0.745).

***

Record 8
A plane-wave DFT calculation with PBE was carried out for a geometry-optimized Ce3GaIr8 structure.

For the calculated volume, the calculation gives 218.3 Å³/f.u. The calculation puts the mass density at 15.4 g/cm³. For the electronic total energy, the calculation gives -8.254 eV/atom. The total magnetization is 0.00 μB/cell.

The space group is R3m (No. 160, hexagonal axes) and the conventional cell measures 5.3700, 5.3700 and 26.2191 Å, with angles of 90.00, 90.00 and 120.00 degrees. The distinct sites, in fractional coordinates, are Ce at (0.0000, 0.0000, 0.0000), Ce at (0.0000, 0.0000, 0.1292), Ce at (0.0000, 0.0000, 0.6120), Ga at (0.0000, 0.0000, 0.4835), Ir at (0.0000, 0.0000, 0.3119), Ir at (0.0000, 0.0000, 0.8126), Ir at (0.0020, 0.5010, 0.5618) and Ir at (0.1674, 0.3349, 0.3947).

***

Record 9
A plane-wave DFT calculation with PBE was carried out for a geometry-optimized PrTm3As4 structure.

For the calculated volume, the calculation gives 198.9 Å³/f.u. The calculation puts the mass density at 7.9 g/cm³. For the electronic total energy, the calculation gives -6.085 eV/atom. The total magnetization is 0.00 μB/cell.

The space group is Cmmm (No. 65) and the conventional cell measures 8.254, 11.671 and 4.130 Å, with angles of 90.00, 90.00 and 90.00 degrees. The distinct sites, in fractional coordinates, are Pr at (0.000, 0.000, 0.000), Tm at (0.000, 0.500, 0.000), Tm at (0.250, 0.250, 0.500), As at (0.000, 0.255, 0.000) and As at (0.240, 0.500, 0.500).

***

Record 10
A plane-wave DFT calculation with PBE was carried out for a geometry-optimized RbTl12In7 structure.

For the calculated volume, the calculation gives 751.9 Å³/f.u. The calculation puts the mass density at 7.4 g/cm³. For the electronic total energy, the calculation gives -2.309 eV/atom. The total magnetization is 0.00 μB/cell.

The space group is Im-3 (No. 204) and the conventional cell measures 11.457, 11.457 and 11.457 Å, with angles of 90.00, 90.00 and 90.00 degrees. The distinct sites, in fractional coordinates, are Rb at (0.000, 0.000, 0.000), Tl at (0.000, 0.349, 0.242), In at (0.000, 0.000, 0.500) and In at (0.250, 0.250, 0.250).

***

Record 11
A plane-wave DFT calculation with PBE was carried out for a geometry-optimized LaTiPS2 structure.

For the calculated volume, the calculation gives 157.1 Å³/f.u. The calculation puts the mass density at 3.0 g/cm³. Its formation energy from raw total energies is 1.24 eV per formula unit. For the electronic total energy, the calculation gives -5.050 eV/atom. The total magnetization is 0.78 μB/cell. The value obtained for the energy above the lowest structure with this stoichiometry is 1.545 eV per atom.

The space group is P4/mmm (No. 123) and the conventional cell measures 5.390, 5.390 and 5.408 Å, with angles of 90.00, 90.00 and 90.00 degrees. The distinct sites, in fractional coordinates, are La at (0.000, 0.000, 0.000), Ti at (0.500, 0.500, 0.500), P at (0.000, 0.000, 0.500) and S at (0.000, 0.500, 0.000).